1.
This record from the Alexandria database describes a relaxed KHfReO6 crystal. The functional is GGA-PBE.

Spin magnetization in μB/f.u.: 0.0
Raw total energy in eV per atom: -8.175
Density in g/cm3: 5.6

Unit cell a=5.391 b=5.391 c=5.936 alpha=90.00 beta=90.00 gamma=120.00
Sites, in units of the cell vectors:
K  0.000  0.000  0.000
Hf  0.333  0.667  0.495
Re  0.667  0.333  0.502
O  0.405  0.024  0.685
O  0.405  0.380  0.314
O  0.618  0.595  0.685
O  0.620  0.025  0.314
O  0.975  0.595  0.314
O  0.976  0.382  0.685

2.
This record from the Alexandria database describes a relaxed AgAsSe2Br crystal. The functional is GGA-PBE.

Spin magnetization in μB/f.u.: 0.0
Raw total energy in eV per atom: -2.452
Density in g/cm3: 5.2
Energy relative to the lowest polymorph listed for this composition in eV per formula unit: 2.06

Unit cell a=5.002 b=5.002 c=5.351 alpha=90.00 beta=90.00 gamma=90.00
Sites, in units of the cell vectors:
Ag  0.000  0.000  0.000
As  0.000  0.000  0.500
Se  0.000  0.500  0.000
Se  0.500  0.000  0.000
Br  0.500  0.500  0.500

3.
This record from the Alexandria database describes a relaxed NdTlCuHg crystal. The functional is GGA-PBE.

Energy relative to the elements in eV per atom: -0.187
Spin magnetization in μB/f.u.: 0.0
Raw total energy in eV per atom: -3.070
Density in g/cm3: 10.8

Unit cell a=5.106 b=5.106 c=5.106 alpha=60.00 beta=60.00 gamma=60.00
Sites, in units of the cell vectors:
Nd  0.000  0.000  0.000
Tl  0.500  0.500  0.500
Cu  0.250  0.250  0.250
Hg  0.750  0.750  0.750

4.
This record from the Alexandria database describes a relaxed LaGa2Pd2Au crystal. The functional is GGA-PBE.

Energy relative to the elements in eV per atom: -0.304
Spin magnetization in μB/f.u.: 0.0
Raw total energy in eV per atom: -4.412
Density in g/cm3: 8.6

Unit cell a=4.791 b=4.791 c=5.780 alpha=90.00 beta=90.00 gamma=90.00
Sites, in units of the cell vectors:
La  0.000  0.000  0.000
Ga  0.000  0.500  0.500
Ga  0.500  0.000  0.500
Pd  0.500  0.500  0.245
Pd  0.500  0.500  0.755
Au  0.000  0.000  0.500

5.
This record from the Alexandria database describes a relaxed TlH3W crystal. The functional is GGA-PBE.

Spin magnetization in μB/f.u.: 0.0
Raw total energy in eV per atom: -3.277
Density in g/cm3: 11.9
Energy relative to the lowest polymorph listed for this composition in eV per formula unit: 6.04

Unit cell a=3.793 b=3.793 c=3.793 alpha=90.00 beta=90.00 gamma=90.00
Sites, in units of the cell vectors:
Tl  0.000  0.000  0.000
H  0.000  0.000  0.500
H  0.000  0.500  0.000
H  0.500  0.000  0.000
W  0.500  0.500  0.500

6.
This record from the Alexandria database describes a relaxed Ag5Au3Cl12 crystal. The functional is GGA-PBE.

Spin magnetization in μB/f.u.: 0.0
Raw total energy in eV per atom: -2.514
Density in g/cm3: 4.7

Unit cell a=14.208 b=14.208 c=14.208 alpha=109.47 beta=109.47 gamma=109.47
Sites, in units of the cell vectors:
Ag  0.000  0.000  0.000
Ag  0.000  0.000  0.500
Ag  0.000  0.500  0.000
Ag  0.000  0.500  0.500
Ag  0.125  0.750  0.875
Ag  0.125  0.875  0.250
Ag  0.250  0.125  0.875
Ag  0.250  0.625  0.375
Ag  0.375  0.250  0.625
Ag  0.375  0.625  0.750
Ag  0.500  0.000  0.000
Ag  0.500  0.000  0.500
Ag  0.500  0.500  0.000
Ag  0.500  0.500  0.500
Ag  0.625  0.375  0.250
Ag  0.625  0.750  0.375
Ag  0.750  0.375  0.625
Ag  0.750  0.875  0.125
Ag  0.875  0.125  0.750
Ag  0.875  0.250  0.125
Au  0.125  0.250  0.375
Au  0.125  0.375  0.750
Au  0.250  0.375  0.125
Au  0.250  0.875  0.625
Au  0.375  0.125  0.250
Au  0.375  0.750  0.125
Au  0.625  0.250  0.875
Au  0.625  0.875  0.750
Au  0.750  0.125  0.375
Au  0.750  0.625  0.875
Au  0.875  0.625  0.250
Au  0.875  0.750  0.625
Cl  0.016  0.676  0.654
Cl  0.016  0.840  0.362
Cl  0.022  0.176  0.160
Cl  0.022  0.346  0.862
Cl  0.138  0.660  0.484
Cl  0.138  0.978  0.654
Cl  0.154  0.176  0.516
Cl  0.154  0.478  0.638
Cl  0.160  0.022  0.176
Cl  0.160  0.638  0.984
Cl  0.176  0.160  0.022
Cl  0.176  0.516  0.154
Cl  0.324  0.346  0.984
Cl  0.324  0.478  0.340
Cl  0.340  0.324  0.478
Cl  0.340  0.516  0.862
Cl  0.346  0.862  0.022
Cl  0.346  0.984  0.324
Cl  0.362  0.016  0.840
Cl  0.362  0.846  0.522
Cl  0.478  0.340  0.324
Cl  0.478  0.638  0.154
Cl  0.484  0.138  0.660
Cl  0.484  0.846  0.824
Cl  0.516  0.154  0.176
Cl  0.516  0.862  0.340
Cl  0.522  0.362  0.846
Cl  0.522  0.660  0.676
Cl  0.638  0.154  0.478
Cl  0.638  0.984  0.160
Cl  0.654  0.016  0.676
Cl  0.654  0.138  0.978
Cl  0.660  0.484  0.138
Cl  0.660  0.676  0.522
Cl  0.676  0.522  0.660
Cl  0.676  0.654  0.016
Cl  0.824  0.484  0.846
Cl  0.824  0.840  0.978
Cl  0.840  0.362  0.016
Cl  0.840  0.978  0.824
Cl  0.846  0.522  0.362
Cl  0.846  0.824  0.484
Cl  0.862  0.022  0.346
Cl  0.862  0.340  0.516
Cl  0.978  0.654  0.138
Cl  0.978  0.824  0.840
Cl  0.984  0.160  0.638
Cl  0.984  0.324  0.346